1.
Below is a geometry-optimized HfP2Rh structure, with properties calculated at the PBE level.

```
4
Lattice="0.000 3.116 3.116 3.116 0.000 3.116 3.116 3.116 0.000" Properties=species:S:1:pos:R:3 pbc="T T T"
Hf 0.000 0.000 0.000
P 1.558 1.558 1.558
P 4.673 4.673 4.673
Rh 3.116 3.116 3.116
```

DOS(E_F)   0.7905 states/eV per atom
Energy of formation   -0.546 eV/atom
Symmetry   Fm-3m
Magnetic moment   0.0 μB per formula unit
Excess energy over the best structure of this formula in the dataset   0.0 kJ/mol of atoms


2.
Below is a geometry-optimized NaCeEr2Hg4 structure, with properties calculated at the PBE level.

```
8
Lattice="2.603 1.503 8.761 -2.603 1.503 8.761 0.000 -3.006 8.761" Properties=species:S:1:pos:R:3 pbc="T T T"
Na 0.000 0.000 0.000
Ce 0.000 0.000 13.142
Er 0.000 0.000 6.682
Er 0.000 0.000 19.601
Hg 0.000 0.000 3.164
Hg 0.000 0.000 9.844
Hg 0.000 0.000 16.439
Hg 0.000 0.000 23.120
```

DOS(E_F)   1.4712 states/eV per atom
Energy of formation   -0.351 eV/atom
Symmetry   R-3m
Magnetic moment   0.9 μB per formula unit


3.
Below is a geometry-optimized Er2ZrC2 structure, with properties calculated at the PBE level.

```
5
Lattice="1.725 0.996 8.941 -1.725 0.996 8.941 0.000 -1.992 8.941" Properties=species:S:1:pos:R:3 pbc="T T T"
Er 0.000 0.000 6.262
Er 0.000 0.000 20.560
Zr 0.000 0.000 0.000
C 0.000 0.000 10.325
C 0.000 0.000 16.496
```

DOS(E_F)   0.2092 states/eV per atom
Energy of formation   -0.506 eV/atom
Symmetry   R-3m
Magnetic moment   0.0 μB per formula unit


4.
Below is a geometry-optimized CoTe2As structure, with properties calculated at the PBE level.

```
4
Lattice="-2.812 2.812 2.905 2.812 -2.812 2.905 2.812 2.812 -2.905" Properties=species:S:1:pos:R:3 pbc="T T T"
Co 0.000 0.000 0.000
Te 2.812 0.000 0.000
Te 0.000 2.812 0.000
As 0.000 0.000 2.905
```

DOS(E_F)   0.7864 states/eV per atom
Symmetry   I4/mmm
Magnetic moment   1.6 μB per formula unit
ΔE_f (raw)   0.33 eV/atom


5.
Below is a geometry-optimized PrNd2ScSe4 structure, with properties calculated at the PBE level.

```
8
Lattice="7.221 0.000 0.000 0.000 4.105 0.000 -2.340 0.000 6.878" Properties=species:S:1:pos:R:3 pbc="T T T"
Pr 0.000 0.000 0.000
Nd 2.441 0.000 3.439
Nd 3.611 2.052 0.000
Sc -1.170 2.052 3.439
Se -0.038 0.000 5.015
Se 1.131 2.052 1.803
Se 3.750 2.052 5.074
Se 4.920 0.000 1.863
```

DOS(E_F)   0.6046 states/eV per atom
Symmetry   P2/m
Magnetic moment   0.0 μB per formula unit
ΔE_f (raw)   -1.74 eV/atom


6.
Below is a geometry-optimized Be2CuRh structure, with properties calculated at the PBE level.

```
4
Lattice="0.000 2.738 2.738 2.738 0.000 2.738 2.738 2.738 0.000" Properties=species:S:1:pos:R:3 pbc="T T T"
Be 1.369 1.369 1.369
Be 4.108 4.108 4.108
Cu 0.000 0.000 0.000
Rh 2.738 2.738 2.738
```

DOS(E_F)   0.2450 states/eV per atom
Energy of formation   -0.433 eV/atom
Symmetry   Fm-3m
Magnetic moment   0.0 μB per formula unit


7.
Below is a geometry-optimized PuCrNi11 structure, with properties calculated at the PBE level.

```
13
Lattice="2.350 -5.804 0.000 2.350 5.804 0.000 -2.306 0.000 5.828" Properties=species:S:1:pos:R:3 pbc="T T T"
Pu 0.000 0.000 0.000
Cr 1.197 0.000 2.914
Ni -1.153 0.000 2.914
Ni 1.175 2.902 0.000
Ni 0.039 3.754 3.761
Ni 0.052 1.284 4.534
Ni 2.355 3.754 2.067
Ni 2.341 1.284 1.294
Ni 1.175 -2.902 0.000
Ni 0.052 -1.284 4.534
Ni 0.039 -3.754 3.761
Ni 2.341 -1.284 1.294
Ni 2.355 -3.754 2.067
```

DOS(E_F)   2.3504 states/eV per atom
Energy of formation   -0.031 eV/atom
Symmetry   C2/m
Magnetic moment   0.2 μB per formula unit


8.
Below is a geometry-optimized Ac2PtO6 structure, with properties calculated at the PBE level.

```
9
Lattice="-1.952 2.898 5.813 1.952 -2.898 5.813 1.952 2.898 -5.813" Properties=species:S:1:pos:R:3 pbc="T T T"
Ac 0.000 0.000 1.941
Ac 0.000 0.000 9.685
Pt 0.000 0.000 5.813
O 1.952 1.593 -1.652
O 0.000 1.766 0.000
O 1.952 1.593 1.652
O 0.000 1.304 4.161
O 0.000 4.030 0.000
O 0.000 1.304 7.466
```

DOS(E_F)   0.3027 states/eV per atom
Symmetry   Immm
Magnetic moment   0.0 μB per formula unit
ΔE_f (raw)   -1.77 eV/atom
Excess energy over the best structure of this formula in the dataset   28.5 kJ/mol of atoms


9.
Below is a geometry-optimized TaBe9Tc2 structure, with properties calculated at the PBE level.

```
12
Lattice="2.194 1.267 6.908 -2.194 1.267 6.908 0.000 -2.534 6.908" Properties=species:S:1:pos:R:3 pbc="T T T"
Ta 0.000 0.000 0.000
Be -1.109 -0.640 8.626
Be 0.000 0.000 6.912
Be 0.000 -1.281 12.097
Be -1.109 0.640 12.097
Be 0.000 0.000 10.361
Be 1.109 -0.640 8.626
Be 0.000 1.281 8.626
Be 0.000 0.000 13.811
Be 1.109 0.640 12.097
Tc 0.000 0.000 2.989
Tc 0.000 0.000 17.734
```

DOS(E_F)   0.5752 states/eV per atom
Energy of formation   -0.281 eV/atom
Symmetry   R-3m
Magnetic moment   0.0 μB per formula unit


10.
Below is a geometry-optimized BaBeCdH6 structure, with properties calculated at the PBE level.

```
9
Lattice="4.930 0.000 0.000 -2.465 4.269 0.000 0.000 0.000 5.376" Properties=species:S:1:pos:R:3 pbc="T T T"
Ba 0.000 0.000 0.000
Be 2.465 1.423 2.688
Cd 0.000 2.846 2.688
H 1.927 0.217 3.716
H 1.152 1.560 1.659
H 3.003 0.217 1.659
H 1.690 2.492 3.716
H 3.778 1.560 3.716
H 3.240 2.492 1.659
```

E_tot   -26.82 eV per formula unit
Symmetry   P312
Magnetic moment   0.0 μB per formula unit


11.
Below is a geometry-optimized La3NbI structure, with properties calculated at the PBE level.

```
5
Lattice="5.686 0.000 0.000 0.000 5.686 0.000 0.000 0.000 5.686" Properties=species:S:1:pos:R:3 pbc="T T T"
La 0.000 0.000 2.843
La 0.000 2.843 0.000
La 2.843 0.000 0.000
Nb 0.000 0.000 0.000
I 2.843 2.843 2.843
```

DOS(E_F)   0.8149 states/eV per atom
Symmetry   Pm-3m
Magnetic moment   0.0 μB per formula unit
ΔE_f (raw)   0.08 eV/atom
Excess energy over the best structure of this formula in the dataset   0.0 kJ/mol of atoms


12.
Below is a geometry-optimized Mn2AgSb structure, with properties calculated at the PBE level.

```
4
Lattice="4.221 0.000 0.000 0.000 4.221 0.000 0.000 0.000 3.947" Properties=species:S:1:pos:R:3 pbc="T T T"
Mn 0.000 2.110 0.000
Mn 2.110 0.000 0.000
Ag 0.000 0.000 1.973
Sb 2.110 2.110 1.973
```

DOS(E_F)   0.9752 states/eV per atom
Symmetry   P4/mmm
Magnetic moment   7.5 μB per formula unit
ΔE_f (raw)   0.22 eV/atom


Q: Look up the magnetic moment of the ninth one.
A: 0.0 μB per formula unit